Entry 1:
This record from Alexandria via LeMat-Bulk describes an optimized crystal structure of K4CdF2. The functional is GGA-PBE.

Cell and atoms, written as POSCAR:
```
K4CdF2
1.0
6.324 0.000 0.000
0.000 6.324 0.000
3.162 3.162 7.743
K Cd F
4 1 2
Direct
0.747 0.747 0.507
0.000 0.500 0.000
0.500 0.000 0.000
0.253 0.253 0.493
0.000 0.000 0.000
0.404 0.404 0.192
0.596 0.596 0.808
```

Space-group type ... No. 139
Volume ... 44.233 A^3/atom
Raw formation energy ... -1088 meV per atom
DOS at the Fermi energy ... 4.2 states/eV/cell

---

Entry 2:
This record from Alexandria via LeMat-Bulk describes an optimized crystal structure of KCd2F5. The functional is GGA-PBE.

Cell and atoms, written as POSCAR:
```
KCd2F5
1.0
3.562 0.000 0.000
1.781 6.569 1.234
1.781 3.153 5.893
F K Cd
5 1 2
Direct
0.000 0.500 0.500
0.340 0.921 0.399
0.660 0.601 0.079
0.660 0.079 0.601
0.340 0.399 0.921
0.000 0.000 0.000
0.183 0.317 0.317
0.817 0.683 0.683
```

Space-group type ... No. 71
Volume ... 15.506 A^3/atom
Raw formation energy ... -2330 meV per atom
DOS at the Fermi energy ... 0.0 states/eV/cell

---

Entry 3:
This record from Alexandria via LeMat-Bulk describes an optimized crystal structure of K4CdF7. The functional is GGA-PBE.

Cell and atoms, written as POSCAR:
```
K4CdF7
1.0
4.496 0.000 0.000
2.248 7.740 -0.184
2.248 0.063 6.634
F Cd K
7 1 4
Direct
0.500 0.000 0.000
0.729 0.891 0.651
0.050 0.759 0.142
0.271 0.109 0.349
0.360 0.543 0.736
0.950 0.241 0.858
0.640 0.457 0.264
0.000 0.000 0.000
0.401 0.768 0.431
0.599 0.232 0.569
0.742 0.625 0.892
0.258 0.375 0.108
```

Space-group type ... No. 12
Volume ... 19.243 A^3/atom
Raw formation energy ... -2301 meV per atom
DOS at the Fermi energy ... 7.2 states/eV/cell

---

Entry 4:
This record from Alexandria via LeMat-Bulk describes an optimized crystal structure of KCdF2. The functional is GGA-PBE.

Cell and atoms, written as POSCAR:
```
KCdF2
1.0
-1.670 2.664 5.208
-3.456 -4.819 1.358
1.352 -3.222 5.635
Cd K F
2 2 4
Direct
0.000 0.000 0.000
0.750 0.250 0.500
0.250 0.750 0.500
0.500 0.500 0.000
0.656 0.125 0.250
0.375 0.344 0.750
0.094 0.625 0.250
0.875 0.906 0.750
```

Space-group type ... No. 122
Volume ... 23.338 A^3/atom
ΔE to the lowest computed polymorph ... 10 meV/atom
Raw formation energy ... -1957 meV per atom
DOS at the Fermi energy ... 0.1 states/eV/cell